No. 1
A geometry-optimized CdP structure, computed with PBE-GGA.

Cell lengths 4.0228, 4.0228, 6.0403 Å; angles 90.00, 90.00, 120.00 degrees
Space group P6_3/mmc (No. 194)
Asymmetric unit:
Cd 0.0000 0.0000 0.0000
P 0.3333 0.6667 0.2500

Calculated values
Crystal system ... hexagonal
Energy of formation from the pure elements ... 0.35 eV per atom


No. 2
A geometry-optimized SrTl2Re2 structure, computed with PBE-GGA.

Cell lengths 3.646, 3.646, 18.517 Å; angles 90.00, 90.00, 90.00 degrees
Space group I4/mmm (No. 139)
Asymmetric unit:
Sr 0.000 0.000 0.000
Tl 0.000 0.000 0.377
Re 0.000 0.500 0.250

Calculated values
Crystal system ... tetragonal
Energy of formation from the pure elements ... 0.46 eV per atom


No. 3
A geometry-optimized CaSb2Mo structure, computed with PBE-GGA.

Cell lengths 3.8767, 3.8767, 23.2318 Å; angles 90.00, 90.00, 120.00 degrees
Space group R-3m (No. 166, hexagonal axes)
Asymmetric unit:
Ca 0.0000 0.0000 0.0000
Sb 0.0000 0.0000 0.2374
Mo 0.0000 0.0000 0.5000

Calculated values
Crystal system ... trigonal
E_tot ... -5.43 eV/atom


No. 4
A geometry-optimized La3Al7Ga4 structure, computed with PBE-GGA.

Cell lengths 16.528, 4.356, 10.121 Å; angles 90.00, 126.93, 90.00 degrees
Space group C2/m (No. 12)
Asymmetric unit:
La 0.000 0.000 0.000
La 0.182 0.500 0.686
Al 0.000 0.000 0.500
Al 0.005 0.500 0.287
Al 0.146 0.000 0.417
Al 0.166 0.500 0.028
Ga 0.135 0.000 0.859
Ga 0.165 0.500 0.287

Calculated values
Crystal system ... monoclinic
Energy of formation from the pure elements ... -0.47 eV per atom


No. 5
A geometry-optimized Pu2MnFe3 structure, computed with PBE-GGA.

Cell lengths 8.274, 5.300, 5.504 Å; angles 90.00, 130.32, 90.00 degrees
Space group C2/m (No. 12)
Asymmetric unit:
Pu 0.122 0.000 0.373
Mn 0.000 0.500 0.500
Fe 0.000 0.500 0.000
Fe 0.250 0.250 0.000

Calculated values
Crystal system ... monoclinic
Energy of formation from the pure elements ... -0.07 eV per atom


No. 6
A geometry-optimized BeInNi structure, computed with PBE-GGA.

Cell lengths 5.613, 5.613, 5.613 Å; angles 90.00, 90.00, 90.00 degrees
Space group F-43m (No. 216)
Asymmetric unit:
Be 0.000 0.000 0.000
In 0.250 0.250 0.250
Ni 0.250 0.250 0.750

Calculated values
Crystal system ... cubic
Energy of formation from the pure elements ... 0.16 eV per atom


Number 1: Fermi-level density of states 0.881 states/eV per atom, magnetic moment 0.00 μB/cell. Number 2: Fermi-level density of states 0.611 states/eV per atom, magnetic moment 0.00 μB/cell. Number 3: Fermi-level density of states 0.426 states/eV per atom, magnetic moment 0.00 μB/cell. Number 4: Fermi-level density of states 0.329 states/eV per atom, magnetic moment 0.00 μB/cell. Number 5: Fermi-level density of states 1.998 states/eV per atom, magnetic moment 4.65 μB/cell. Number 6: Fermi-level density of states 0.762 states/eV per atom, magnetic moment 0.00 μB/cell.